The following is a DFT calculation (PBE) of a geometry-optimized CaLa2SmTe4 structure.

a = 4.503 Å, b = 7.849 Å, c = 7.854 Å
α = 70.86°, β = 90.00°, γ = 90.00°
Sites, in units of the cell vectors:
La (0.500, 0.000, 0.500)
Te (0.000, 0.739, 0.754)
Ca (0.500, 0.500, 0.000)
Te (0.500, 0.740, 0.252)
Te (0.000, 0.261, 0.246)
Te (0.500, 0.260, 0.748)
La (0.000, 0.000, 0.000)
Sm (0.000, 0.500, 0.500)

Summary:
**Formation energy from raw total energies**: -1.5376 eV/atom
**Symmetry**: P2/m, No. 10